one.
## Zn4InAg3 (PBE)

Data for a relaxed structure of Zn4InAg3.

Output
Crystal system = orthorhombic

The structure in POSCAR format:
```
Zn4InAg3
1.0
-1.4616 3.6504 6.9061
1.4616 -3.6504 6.9061
1.4616 3.6504 -6.9061
Zn In Ag
4 1 3
Cartesian
1.4616 -2.3296 4.8297
0.0000 1.3208 2.0763
1.4616 2.3296 4.8297
0.0000 5.9800 2.0763
0.0000 3.6504 0.0000
1.4616 0.0000 0.0000
0.0000 0.0000 4.4304
0.0000 0.0000 9.3817
```



two.
## Zn4InAg3 (PBE)

Data for a relaxed structure of Zn4InAg3.

Output
Crystal system = orthorhombic

The structure in POSCAR format:
```
Zn4InAg3
1.0
9.1419 0.0000 0.0000
0.0000 6.0370 0.0000
0.0000 0.0000 4.9653
Zn In Ag
8 2 6
Cartesian
0.0000 1.4210 0.0000
0.0000 4.6161 0.0000
2.2855 1.4095 1.6710
2.2855 4.6275 1.6710
4.5709 1.4210 0.0000
4.5709 4.6161 0.0000
6.8564 1.4095 3.2944
6.8564 4.6275 3.2944
0.0000 3.0185 2.4827
4.5709 3.0185 2.4827
0.0000 0.0000 2.4827
2.2855 0.0000 4.2192
2.2855 3.0185 4.3174
4.5709 0.0000 2.4827
6.8564 0.0000 0.7461
6.8564 3.0185 0.6480
```



Unit: kJ/mol of atoms. Relative energies: one 6.6; two 0.0.



one.
## ZnInAg3 (PBE)

Data for a relaxed structure of ZnInAg3.

Output
Crystal system = cubic

The structure in POSCAR format:
```
ZnInAg3
1.0
4.9077 0.0000 0.0000
0.0000 4.9077 0.0000
0.0000 0.0000 4.9077
Zn In Ag
1 1 3
Cartesian
0.0000 0.0000 0.0000
2.4538 2.4538 2.4538
0.0000 0.0000 2.4538
0.0000 2.4538 0.0000
2.4538 0.0000 0.0000
```



two.
## ZnInAg3 (PBE)

Data for a relaxed structure of ZnInAg3.

Output
Crystal system = triclinic

The structure in POSCAR format:
```
ZnInAg3
1.0
5.1917 0.0000 0.0000
-1.5357 5.7053 0.0000
-0.9302 -1.7098 6.1806
Zn In Ag
2 2 6
Cartesian
0.0000 0.0000 0.0000
-0.7678 2.8527 0.0000
0.8347 0.3087 4.8495
1.8911 3.6869 1.3311
0.0460 1.6051 2.3614
-0.7053 4.4590 2.3649
0.0340 3.1589 4.9676
2.6918 0.8366 1.2130
3.4311 -0.4634 3.8157
2.6798 2.3904 3.8192
```



three.
## ZnInAg3 (PBE)

Data for a relaxed structure of ZnInAg3.

Output
Crystal system = triclinic

The structure in POSCAR format:
```
ZnInAg3
1.0
5.2076 0.0000 0.0000
1.8613 4.8806 0.0000
1.8618 1.1426 7.2119
Zn In Ag
2 2 6
Cartesian
1.5054 1.6902 1.7511
7.4253 4.3330 5.4608
3.9314 1.9405 5.8789
4.9993 4.0826 1.3330
2.3670 4.2268 2.7792
4.3159 4.6479 7.1634
4.9327 4.2696 4.3467
3.9980 1.7536 2.8652
4.6148 1.3752 0.0485
6.5637 1.7964 4.4327
```



Unit: kJ/mol of atoms. Relative energies: one 37.8; two 1.0; three 0.0.



one.
## Zn2InAg3 (PBE)

Data for a relaxed structure of Zn2InAg3.

Output
Crystal system = orthorhombic

The structure in POSCAR format:
```
Zn2InAg3
1.0
4.9952 0.0000 0.0000
0.0000 8.6833 0.0000
0.0000 0.0000 4.9672
Zn In Ag
4 2 6
Cartesian
1.2488 0.7563 0.4679
1.2488 3.5853 0.4679
3.7464 5.0980 4.4993
3.7464 7.9270 4.4993
1.2488 6.5125 0.5133
3.7464 2.1708 4.4540
1.2488 2.1708 2.8465
1.2488 5.0044 3.0016
1.2488 8.0206 3.0016
3.7464 0.6627 1.9656
3.7464 3.6789 1.9656
3.7464 6.5125 2.1207
```



two.
## Zn2InAg3 (PBE)

Data for a relaxed structure of Zn2InAg3.

Output
Crystal system = orthorhombic

The structure in POSCAR format:
```
Zn2InAg3
1.0
3.0469 -7.0610 0.0000
3.0469 7.0610 0.0000
0.0000 0.0000 5.0988
Zn In Ag
4 2 6
Cartesian
1.4373 0.0000 0.0000
1.4373 0.0000 2.5494
4.6566 0.0000 0.0000
4.6566 0.0000 2.5494
3.0469 2.1019 3.8241
3.0469 -2.1019 1.2747
1.5252 2.4741 1.2747
3.0469 4.9973 1.2747
1.5252 -2.4741 3.8241
4.5686 2.4741 1.2747
3.0469 -4.9973 3.8241
4.5686 -2.4741 3.8241
```



Unit: kJ/mol of atoms. Relative energies: one 0.0; two 3.5.



one.
## Zn2In2Ag5 (PBE)

Data for a relaxed structure of Zn2In2Ag5.

Output
Crystal system = orthorhombic

The structure in POSCAR format:
```
Zn2In2Ag5
1.0
-8.3484 3.6091 2.9314
8.3484 -3.6091 2.9314
8.3484 3.6091 -2.9314
Zn In Ag
4 4 10
Cartesian
1.1377 0.4170 0.0000
7.2107 0.4170 0.0000
1.1377 3.1921 2.9314
7.2107 3.1921 2.9314
4.1742 -0.3987 2.9427
0.0000 3.6091 0.0052
0.0000 0.0000 2.9366
4.1742 4.0078 0.0113
10.2523 1.8099 -1.4589
6.4444 -1.7992 1.4725
5.5896 1.8124 -1.4566
11.1071 -1.7966 1.4748
12.5225 0.3247 0.0057
-1.9040 1.7992 1.4725
2.7587 1.7966 1.4748
5.5896 1.7966 1.4748
10.2523 1.7992 1.4725
-4.1742 3.2844 2.9371
```



two.
## Zn2In2Ag5 (PBE)

Data for a relaxed structure of Zn2In2Ag5.

Output
Crystal system = triclinic

The structure in POSCAR format:
```
Zn2In2Ag5
1.0
5.0979 0.0000 0.0000
-2.5110 4.5562 0.0000
-2.1241 -1.5441 7.1920
Zn In Ag
2 2 5
Cartesian
-0.6896 1.4053 2.5063
1.1525 1.6068 4.6857
0.0039 3.0400 0.0711
0.4589 -0.0279 7.1209
0.0000 0.0000 0.0000
-1.4149 -0.0066 4.7724
-1.3532 2.9471 4.7165
1.8160 0.0650 2.4755
1.8777 3.0187 2.4196
```



Unit: kJ/mol of atoms. Relative energies: one 3.6; two 0.0.



one.
## Zn6InAg12 (PBE)

Data for a relaxed structure of Zn6InAg12.

Output
Crystal system = cubic

The structure in POSCAR format:
```
Zn6InAg12
1.0
-4.3982 4.3982 4.3982
4.3982 -4.3982 4.3982
4.3982 4.3982 -4.3982
Zn In Ag
6 1 12
Cartesian
4.3982 1.2255 0.0000
4.3982 0.0000 3.1727
3.1727 4.3982 0.0000
1.2255 0.0000 4.3982
0.0000 4.3982 1.2255
0.0000 3.1727 4.3982
0.0000 0.0000 0.0000
4.3982 2.7931 -2.0041
2.3941 0.0000 1.6051
6.4023 0.0000 1.6051
1.6051 2.3941 0.0000
2.7931 -2.0041 4.3982
0.0000 1.6051 2.3941
4.3982 2.7931 2.0041
1.6051 6.4023 0.0000
2.7931 2.0041 4.3982
-2.0041 4.3982 2.7931
2.0041 4.3982 2.7931
0.0000 1.6051 6.4023
```



two.
## Zn6InAg12 (PBE)

Data for a relaxed structure of Zn6InAg12.

Output
Crystal system = trigonal

The structure in POSCAR format:
```
Zn6InAg12
1.0
6.1087 3.5268 2.7755
-6.1087 3.5268 2.7755
0.0000 -7.0537 2.7755
Zn In Ag
6 1 12
Cartesian
0.0000 -2.8640 3.5754
-2.4803 1.4320 3.5754
-2.4803 -1.4320 4.7512
2.4803 1.4320 3.5754
2.4803 -1.4320 4.7512
0.0000 2.8640 4.7512
0.0000 0.0000 0.0000
-2.3336 -4.0420 4.1633
-4.6673 0.0000 4.1633
-1.4720 -0.8499 2.3679
1.4720 -0.8498 2.3679
0.0000 1.6997 2.3679
2.3336 -4.0420 4.1633
-2.3336 4.0420 4.1633
0.0000 -1.6997 5.9587
-1.4720 0.8499 5.9587
1.4720 0.8498 5.9587
4.6673 0.0000 4.1633
2.3336 4.0420 4.1633
```



Unit: kJ/mol of atoms. Relative energies: one 0.0; two 1.3.